Record 1
This record from the Alexandria database describes a relaxed structure of PaCd3Hg4. The functional is PBE.

Lattice parameters (Å, degrees): 4.849 4.849 8.019 90.00 90.00 90.00
Space group P4/mmm (No. 123)
One atom of each set of equivalent atoms:
Pa (0.000, 0.000, 0.000) (multiplicity 1)
Cd (0.000, 0.000, 0.500) (multiplicity 1)
Cd (0.500, 0.500, 0.000) (multiplicity 1)
Cd (0.500, 0.500, 0.500) (multiplicity 1)
Hg (0.000, 0.500, 0.256) (multiplicity 4)

***

Record 2
This record from the Alexandria database describes a relaxed structure of PaCd4Hg5. The functional is PBE.

Lattice parameters (Å, degrees): 3.742 3.742 17.165 90.00 90.00 90.00
Space group P4/mmm (No. 123)
One atom of each set of equivalent atoms:
Pa (0.000, 0.000, 0.000) (multiplicity 1)
Cd (0.000, 0.000, 0.207) (multiplicity 2)
Cd (0.000, 0.000, 0.404) (multiplicity 2)
Hg (0.500, 0.500, 0.111) (multiplicity 2)
Hg (0.500, 0.500, 0.306) (multiplicity 2)
Hg (0.500, 0.500, 0.500) (multiplicity 1)

***

Record 3
This record from the Alexandria database describes a relaxed structure of PaZnCdHg. The functional is PBE.

Lattice parameters (Å, degrees): 7.076 7.076 7.076 90.00 90.00 90.00
Space group F-43m (No. 216)
One atom of each set of equivalent atoms:
Pa (0.000, 0.000, 0.000) (multiplicity 4)
Zn (0.250, 0.250, 0.250) (multiplicity 4)
Cd (0.000, 0.000, 0.500) (multiplicity 4)
Hg (0.250, 0.250, 0.750) (multiplicity 4)

***

Listing energy for the structures above in their given order: -1.66; -1.42; -2.95 eV per atom.
Listing energy relative to the elements for the structures above in their given order: 0.020; 0.050; 0.051 eV per atom.